Record 1
# DySbCl6, relaxed, DFT PBE
# ΔE_f (raw): -1519 meV/atom
# Mass density: 3.48 Mg/m³
data_DySbCl6
_cell_length_a 6.7018
_cell_length_b 6.7018
_cell_length_c 18.2786
_cell_angle_alpha 90.00
_cell_angle_beta 90.00
_cell_angle_gamma 120.00
_symmetry_space_group_name_H-M 'R -3'
_symmetry_Int_Tables_number 148
_symmetry_space_group_name_Hall '-R 3'
loop_
_atom_site_label
_atom_site_type_symbol
_atom_site_fract_x
_atom_site_fract_y
_atom_site_fract_z
Dy1 Dy 0.0000 0.0000 0.0000
Sb1 Sb 0.0000 0.0000 0.5000
Cl1 Cl 0.0017 0.6553 0.7498

Record 2
# Pm3Ho2Sc4, relaxed, DFT PBE
# Mass density: 6.01 Mg/m³
# DFT formation energy: 11.5 kJ per mole of atoms
data_Pm3Ho2Sc4
_cell_length_a 16.1106
_cell_length_b 11.2558
_cell_length_c 5.8102
_cell_angle_alpha 90.00
_cell_angle_beta 97.66
_cell_angle_gamma 90.00
_symmetry_space_group_name_H-M 'C 1 2/c 1'
_symmetry_Int_Tables_number 15
loop_
_symmetry_equiv_pos_as_xyz
'x,y,z'
'-x,-y,-z'
'-x,y,-z+1/2'
'x,-y,z+1/2'
'x+1/2,y+1/2,z'
'-x+1/2,-y+1/2,-z'
'-x+1/2,y+1/2,-z+1/2'
'x+1/2,-y+1/2,z+1/2'
loop_
_atom_site_label
_atom_site_type_symbol
_atom_site_fract_x
_atom_site_fract_y
_atom_site_fract_z
Pm1 Pm 0.0000 0.1209 0.2500
Pm2 Pm 0.1609 0.3893 0.1078
Ho1 Ho 0.1239 0.1272 0.8004
Sc1 Sc 0.0486 0.3741 0.5349
Sc2 Sc 0.2297 0.1358 0.3462

Record 3
# TePbW2, relaxed, DFT PBE
# ΔE_f (raw): 1055 meV/atom
# Mass density: 15.21 Mg/m³
data_TePbW2
_cell_length_a 6.7445
_cell_length_b 6.7445
_cell_length_c 6.7445
_cell_angle_alpha 90.00
_cell_angle_beta 90.00
_cell_angle_gamma 90.00
_symmetry_space_group_name_H-M 'F m -3 m'
_symmetry_Int_Tables_number 225
_symmetry_space_group_name_Hall '-F 4 2 3'
loop_
_atom_site_label
_atom_site_type_symbol
_atom_site_fract_x
_atom_site_fract_y
_atom_site_fract_z
Te1 Te 0.0000 0.0000 0.0000
Pb1 Pb 0.0000 0.0000 0.5000
W1 W 0.2500 0.2500 0.2500

Record 4
# AlCr2Re, relaxed, DFT PBE
# Mass density: 9.99 Mg/m³
# DFT formation energy: 1.0 kJ per mole of atoms
data_AlCr2Re
_cell_length_a 5.1262
_cell_length_b 8.3824
_cell_length_c 2.6038
_cell_angle_alpha 90.00
_cell_angle_beta 109.51
_cell_angle_gamma 90.00
_symmetry_space_group_name_H-M 'C 1 2/m 1'
_symmetry_Int_Tables_number 12
loop_
_symmetry_equiv_pos_as_xyz
'x,y,z'
'-x,-y,-z'
'-x,y,-z'
'x,-y,z'
'x+1/2,y+1/2,z'
'-x+1/2,-y+1/2,-z'
'-x+1/2,y+1/2,-z'
'x+1/2,-y+1/2,z'
loop_
_atom_site_label
_atom_site_type_symbol
_atom_site_fract_x
_atom_site_fract_y
_atom_site_fract_z
Al1 Al 0.0000 0.0000 0.0000
Cr1 Cr 0.2500 0.2500 0.5000
Re1 Re 0.0000 0.5000 0.0000

Record 5
# Pt2C, relaxed, DFT PBE
# Mass density: 16.57 Mg/m³
# DFT formation energy: 100.6 kJ per mole of atoms
data_Pt2C
_cell_length_a 5.4429
_cell_length_b 5.4429
_cell_length_c 5.4429
_cell_angle_alpha 90.00
_cell_angle_beta 90.00
_cell_angle_gamma 90.00
_symmetry_space_group_name_H-M 'F m -3 m'
_symmetry_Int_Tables_number 225
_symmetry_space_group_name_Hall '-F 4 2 3'
loop_
_atom_site_label
_atom_site_type_symbol
_atom_site_fract_x
_atom_site_fract_y
_atom_site_fract_z
Pt1 Pt 0.2500 0.2500 0.2500
C1 C 0.0000 0.0000 0.0000

Record 6
# TbCeErPb, relaxed, DFT PBE
# Mass density: 9.87 Mg/m³
# DFT formation energy: -4.5 kJ per mole of atoms
data_TbCeErPb
_cell_length_a 7.6811
_cell_length_b 7.6811
_cell_length_c 7.6811
_cell_angle_alpha 90.00
_cell_angle_beta 90.00
_cell_angle_gamma 90.00
_symmetry_space_group_name_H-M 'F -4 3 m'
_symmetry_Int_Tables_number 216
_symmetry_space_group_name_Hall 'F -4 2 3'
loop_
_atom_site_label
_atom_site_type_symbol
_atom_site_fract_x
_atom_site_fract_y
_atom_site_fract_z
Tb1 Tb 0.0000 0.0000 0.0000
Ce1 Ce 0.2500 0.2500 0.2500
Er1 Er 0.0000 0.0000 0.5000
Pb1 Pb 0.2500 0.2500 0.7500

Record 7
# LiHfGePd, relaxed, DFT PBE
# Mass density: 9.14 Mg/m³
# DFT formation energy: -53.5 kJ per mole of atoms
data_LiHfGePd
_cell_length_a 6.4221
_cell_length_b 6.4221
_cell_length_c 6.4221
_cell_angle_alpha 90.00
_cell_angle_beta 90.00
_cell_angle_gamma 90.00
_symmetry_space_group_name_H-M 'F -4 3 m'
_symmetry_Int_Tables_number 216
_symmetry_space_group_name_Hall 'F -4 2 3'
loop_
_atom_site_label
_atom_site_type_symbol
_atom_site_fract_x
_atom_site_fract_y
_atom_site_fract_z
Li1 Li 0.0000 0.0000 0.0000
Hf1 Hf 0.0000 0.0000 0.5000
Ge1 Ge 0.2500 0.2500 0.2500
Pd1 Pd 0.2500 0.2500 0.7500

Record 8
# CaTaIn2, relaxed, DFT PBE
# Mass density: 7.76 Mg/m³
# DFT formation energy: 56.7 kJ per mole of atoms
data_CaTaIn2
_cell_length_a 7.2783
_cell_length_b 7.2783
_cell_length_c 7.2783
_cell_angle_alpha 90.00
_cell_angle_beta 90.00
_cell_angle_gamma 90.00
_symmetry_space_group_name_H-M 'F -4 3 m'
_symmetry_Int_Tables_number 216
_symmetry_space_group_name_Hall 'F -4 2 3'
loop_
_atom_site_label
_atom_site_type_symbol
_atom_site_fract_x
_atom_site_fract_y
_atom_site_fract_z
Ca1 Ca 0.0000 0.0000 0.0000
Ta1 Ta 0.2500 0.2500 0.7500
In1 In 0.0000 0.0000 0.5000
In2 In 0.2500 0.2500 0.2500

Record 9
# LiCaAl2Au5, relaxed, DFT PBE
# Mass density: 9.87 Mg/m³
# DFT formation energy: -40.8 kJ per mole of atoms
data_LiCaAl2Au5
_cell_length_a 4.4836
_cell_length_b 4.4836
_cell_length_c 9.0848
_cell_angle_alpha 90.00
_cell_angle_beta 90.00
_cell_angle_gamma 90.00
_symmetry_space_group_name_H-M 'P 4/m m m'
_symmetry_Int_Tables_number 123
_symmetry_space_group_name_Hall '-P 4 2'
loop_
_atom_site_label
_atom_site_type_symbol
_atom_site_fract_x
_atom_site_fract_y
_atom_site_fract_z
Li1 Li 0.0000 0.0000 0.0000
Ca1 Ca 0.0000 0.0000 0.5000
Al1 Al 0.5000 0.5000 0.1411
Au1 Au 0.0000 0.5000 0.2711
Au2 Au 0.5000 0.5000 0.5000

Record 10
# SrSb2Pd2, relaxed, DFT PBE
# ΔE_f (raw): -644 meV/atom
# Mass density: 7.30 Mg/m³
data_SrSb2Pd2
_cell_length_a 4.9500
_cell_length_b 4.9500
_cell_length_c 10.0984
_cell_angle_alpha 90.00
_cell_angle_beta 90.00
_cell_angle_gamma 90.00
_symmetry_space_group_name_H-M 'I 4/m m m'
_symmetry_Int_Tables_number 139
_symmetry_space_group_name_Hall '-I 4 2'
loop_
_atom_site_label
_atom_site_type_symbol
_atom_site_fract_x
_atom_site_fract_y
_atom_site_fract_z
Sr1 Sr 0.0000 0.0000 0.0000
Sb1 Sb 0.0000 0.5000 0.2500
Pd1 Pd 0.0000 0.0000 0.3609

Record 11
# Nd4AsIrSe2, relaxed, DFT PBE
# ΔE_f (raw): -1435 meV/atom
# Mass density: 7.62 Mg/m³
data_Nd4AsIrSe2
_cell_length_a 7.3783
_cell_length_b 4.1942
_cell_length_c 7.4528
_cell_angle_alpha 90.00
_cell_angle_beta 108.67
_cell_angle_gamma 90.00
_symmetry_space_group_name_H-M 'P 1 2/m 1'
_symmetry_Int_Tables_number 10
loop_
_symmetry_equiv_pos_as_xyz
'x,y,z'
'-x,-y,-z'
'-x,y,-z'
'x,-y,z'
loop_
_atom_site_label
_atom_site_type_symbol
_atom_site_fract_x
_atom_site_fract_y
_atom_site_fract_z
Nd1 Nd 0.2355 0.0000 0.2300
Nd2 Nd 0.2458 0.5000 0.7660
As1 As 0.5000 0.0000 0.0000
Ir1 Ir 0.0000 0.5000 0.0000
Se1 Se 0.0000 0.0000 0.5000
Se2 Se 0.5000 0.5000 0.5000

Record 12
# ScH2N, relaxed, DFT PBE
# Mass density: 3.64 Mg/m³
# Uncorrected energy: -5.40 eV/atom
data_ScH2N
_cell_length_a 4.8105
_cell_length_b 4.8105
_cell_length_c 4.8105
_cell_angle_alpha 90.00
_cell_angle_beta 90.00
_cell_angle_gamma 90.00
_symmetry_space_group_name_H-M 'F m -3 m'
_symmetry_Int_Tables_number 225
_symmetry_space_group_name_Hall '-F 4 2 3'
loop_
_atom_site_label
_atom_site_type_symbol
_atom_site_fract_x
_atom_site_fract_y
_atom_site_fract_z
Sc1 Sc 0.0000 0.0000 0.0000
H1 H 0.2500 0.2500 0.2500
N1 N 0.0000 0.0000 0.5000

Record 13
# InP3Au, relaxed, DFT PBE
# Mass density: 5.78 Mg/m³
# DFT formation energy: 94.2 kJ per mole of atoms
data_InP3Au
_cell_length_a 4.8811
_cell_length_b 4.8811
_cell_length_c 4.8811
_cell_angle_alpha 90.00
_cell_angle_beta 90.00
_cell_angle_gamma 90.00
_symmetry_space_group_name_H-M 'P m -3 m'
_symmetry_Int_Tables_number 221
_symmetry_space_group_name_Hall '-P 4 2 3'
loop_
_atom_site_label
_atom_site_type_symbol
_atom_site_fract_x
_atom_site_fract_y
_atom_site_fract_z
In1 In 0.0000 0.0000 0.0000
P1 P 0.0000 0.5000 0.5000
Au1 Au 0.5000 0.5000 0.5000

Record 14
# Hg4Pb5Au2, relaxed, DFT PBE
# Mass density: 12.52 Mg/m³
# DFT formation energy: -0.5 kJ per mole of atoms
data_Hg4Pb5Au2
_cell_length_a 8.4420
_cell_length_b 18.3989
_cell_length_c 3.8122
_cell_angle_alpha 90.00
_cell_angle_beta 90.00
_cell_angle_gamma 90.00
_symmetry_space_group_name_H-M 'P b a m'
_symmetry_Int_Tables_number 55
loop_
_symmetry_equiv_pos_as_xyz
'x,y,z'
'-x,-y,-z'
'-x,-y,z'
'x,y,-z'
'x+1/2,-y+1/2,-z'
'-x+1/2,y+1/2,z'
'-x+1/2,y+1/2,-z'
'x+1/2,-y+1/2,z'
loop_
_atom_site_label
_atom_site_type_symbol
_atom_site_fract_x
_atom_site_fract_y
_atom_site_fract_z
Hg1 Hg 0.0842 0.1454 0.0000
Hg2 Hg 0.2172 0.4335 0.0000
Pb1 Pb 0.0000 0.0000 0.5000
Pb2 Pb 0.1198 0.5814 0.5000
Pb3 Pb 0.2170 0.7789 0.5000
Au1 Au 0.9998 0.3039 0.0000

Record 15
# Tb3Dy6Sc2, relaxed, DFT PBE
# Mass density: 7.26 Mg/m³
# DFT formation energy: 28.9 kJ per mole of atoms
data_Tb3Dy6Sc2
_cell_length_a 4.6982
_cell_length_b 4.6982
_cell_length_c 31.9599
_cell_angle_alpha 90.00
_cell_angle_beta 90.00
_cell_angle_gamma 90.00
_symmetry_space_group_name_H-M 'I 4/m m m'
_symmetry_Int_Tables_number 139
_symmetry_space_group_name_Hall '-I 4 2'
loop_
_atom_site_label
_atom_site_type_symbol
_atom_site_fract_x
_atom_site_fract_y
_atom_site_fract_z
Tb1 Tb 0.0000 0.0000 0.0000
Tb2 Tb 0.0000 0.0000 0.1991
Dy1 Dy 0.0000 0.0000 0.3062
Dy2 Dy 0.0000 0.5000 0.1160
Sc1 Sc 0.0000 0.0000 0.4564

Record 16
# CeHRh3, relaxed, DFT PBE
# Mass density: 10.79 Mg/m³
# Uncorrected energy: -6.84 eV/atom
data_CeHRh3
_cell_length_a 4.1066
_cell_length_b 4.1066
_cell_length_c 4.1066
_cell_angle_alpha 90.00
_cell_angle_beta 90.00
_cell_angle_gamma 90.00
_symmetry_space_group_name_H-M 'P m -3 m'
_symmetry_Int_Tables_number 221
_symmetry_space_group_name_Hall '-P 4 2 3'
loop_
_atom_site_label
_atom_site_type_symbol
_atom_site_fract_x
_atom_site_fract_y
_atom_site_fract_z
Ce1 Ce 0.0000 0.0000 0.0000
H1 H 0.5000 0.5000 0.5000
Rh1 Rh 0.0000 0.5000 0.5000

Record 17
# KHfSe2O8, relaxed, DFT PBE
# ΔE_f (raw): -1457 meV/atom
# Mass density: 3.97 Mg/m³
data_KHfSe2O8
_cell_length_a 8.8831
_cell_length_b 5.8386
_cell_length_c 8.1377
_cell_angle_alpha 90.00
_cell_angle_beta 92.62
_cell_angle_gamma 90.00
_symmetry_space_group_name_H-M 'C 1 2/m 1'
_symmetry_Int_Tables_number 12
loop_
_symmetry_equiv_pos_as_xyz
'x,y,z'
'-x,-y,-z'
'-x,y,-z'
'x,-y,z'
'x+1/2,y+1/2,z'
'-x+1/2,-y+1/2,-z'
'-x+1/2,y+1/2,-z'
'x+1/2,-y+1/2,z'
loop_
_atom_site_label
_atom_site_type_symbol
_atom_site_fract_x
_atom_site_fract_y
_atom_site_fract_z
K1 K 0.0000 0.0000 0.0000
Hf1 Hf 0.0000 0.0000 0.5000
Se1 Se 0.1300 0.5000 0.2925
O1 O 0.0267 0.2417 0.3141
O2 O 0.1957 0.5000 0.1065
O3 O 0.2299 0.0000 0.5527

Record 18
# PrClO, relaxed, DFT PBE
# ΔE_f (raw): -3021 meV/atom
# Mass density: 5.51 Mg/m³
data_PrClO
_cell_length_a 4.1045
_cell_length_b 4.1045
_cell_length_c 6.8815
_cell_angle_alpha 90.00
_cell_angle_beta 90.00
_cell_angle_gamma 90.00
_symmetry_space_group_name_H-M 'P 4/n m m'
_symmetry_Int_Tables_number 129
loop_
_symmetry_equiv_pos_as_xyz
'x,y,z'
'-x,-y,-z'
'-y+1/2,x,z'
'y+1/2,-x,-z'
'-x+1/2,-y+1/2,z'
'x+1/2,y+1/2,-z'
'y,-x+1/2,z'
'-y,x+1/2,-z'
'x+1/2,-y,-z'
'-x+1/2,y,z'
'-y,-x,-z'
'y,x,z'
'-x,y+1/2,-z'
'x,-y+1/2,z'
'y+1/2,x+1/2,-z'
'-y+1/2,-x+1/2,z'
loop_
_atom_site_label
_atom_site_type_symbol
_atom_site_fract_x
_atom_site_fract_y
_atom_site_fract_z
Pr1 Pr 0.2500 0.2500 0.1741
Cl1 Cl 0.2500 0.2500 0.6273
O1 O 0.2500 0.7500 0.0000

Record 19
# NiB3As, relaxed, DFT PBE
# Mass density: 4.13 Mg/m³
# DFT formation energy: 198.3 kJ per mole of atoms
data_NiB3As
_cell_length_a 4.0568
_cell_length_b 4.0568
_cell_length_c 4.0568
_cell_angle_alpha 90.00
_cell_angle_beta 90.00
_cell_angle_gamma 90.00
_symmetry_space_group_name_H-M 'P m -3 m'
_symmetry_Int_Tables_number 221
_symmetry_space_group_name_Hall '-P 4 2 3'
loop_
_atom_site_label
_atom_site_type_symbol
_atom_site_fract_x
_atom_site_fract_y
_atom_site_fract_z
Ni1 Ni 0.0000 0.0000 0.0000
B1 B 0.0000 0.5000 0.5000
As1 As 0.5000 0.5000 0.5000